# 1
DFT (GGA-PBE) results for a relaxed structure of Al4Zn2Ga5.

abc: 2.798 7.093 9.857
angles: 77.00 82.81 89.42
Element x y z (fractional)
Al (0.053, 0.366, 0.400)
Al (0.225, 0.819, 0.054)
Al (0.775, 0.181, 0.946)
Al (0.947, 0.634, 0.600)
Zn (0.306, 0.532, 0.873)
Zn (0.694, 0.468, 0.127)
Ga (0.149, 0.109, 0.214)
Ga (0.408, 0.275, 0.677)
Ga (0.500, 0.000, 0.500)
Ga (0.592, 0.725, 0.323)
Ga (0.851, 0.891, 0.786)

Properties
Density of states at the Fermi level ... 3.2 states/eV/cell
Total magnetic moment ... 0.0 μB per cell
ΔE_f ... 40 kJ/mol of formula units
Theoretical density ... 5.159 Mg/m³



# 2
DFT (GGA-PBE) results for a relaxed structure of AlZn3Ga.

abc: 4.874 4.874 4.874
angles: 90.00 90.00 90.00
Element x y z (fractional)
Al (0.000, 0.000, 0.000)
Zn (0.000, 0.000, 0.500)
Zn (0.000, 0.500, 0.000)
Zn (0.500, 0.000, 0.000)
Ga (0.500, 0.500, 0.500)

Properties
Density of states at the Fermi level ... 2.8 states/eV/cell
Total magnetic moment ... 0.0 μB per cell
ΔE_f ... 219 kJ/mol of formula units
Theoretical density ... 4.200 Mg/m³



# 3
DFT (GGA-PBE) results for a relaxed structure of Al12ZnGa3.

abc: 4.067 4.067 16.160
angles: 90.00 90.00 90.00
Element x y z (fractional)
Al (0.000, 0.000, 0.000)
Al (0.000, 0.000, 0.248)
Al (0.000, 0.000, 0.500)
Al (0.000, 0.000, 0.752)
Al (0.000, 0.500, 0.123)
Al (0.000, 0.500, 0.374)
Al (0.000, 0.500, 0.626)
Al (0.000, 0.500, 0.877)
Al (0.500, 0.000, 0.123)
Al (0.500, 0.000, 0.374)
Al (0.500, 0.000, 0.626)
Al (0.500, 0.000, 0.877)
Zn (0.500, 0.500, 0.000)
Ga (0.500, 0.500, 0.249)
Ga (0.500, 0.500, 0.500)
Ga (0.500, 0.500, 0.751)

Properties
Density of states at the Fermi level ... 6.2 states/eV/cell
Total magnetic moment ... 0.0 μB per cell
ΔE_f ... 33 kJ/mol of formula units
Theoretical density ... 3.717 Mg/m³



Question: Among the records above, which one has the lowest density of states at the Fermi level?
Answer: AlZn3Ga